Mg3MoO: relaxed, PBE with a Hubbard U.

Cell lengths 4.402, 4.402, 4.402 Å; angles 90.00, 90.00, 90.00 degrees
Space group Pm-3m (No. 221)
Symmetry-distinct sites (fractional):
Mg: 0.000 0.000 0.500
Mo: 0.500 0.500 0.500
O: 0.000 0.000 0.000

Summary:
Distance to the lowest polymorph of the same formula (eV/atom): 0.0000
Raw total energy (eV per cell): -19.138
Theoretical density (g cm⁻³): 3.60
Size of the total moment (μB per formula unit): 3.89
Crystal system: cubic
Fermi-level density of states (states/eV/f.u.): 1.1